Computed, not measured: an optimized crystal structure of Hg3GeO2F6 at the PBE-GGA level of DFT.

Properties
- ρ: 6.8 g/cm3
- Symmetry: C2/m, No. 12
- DFT total energy: -0.139 Ha/atom

Lattice parameters (Å, degrees): 7.181 7.181 4.876 106.20 106.20 57.31
Positions (direct):
Hg (0.000, 0.000, 0.000)
Hg (0.000, 0.500, 0.000)
Hg (0.500, 0.000, 0.000)
Ge (0.500, 0.500, 0.500)
O (0.170, 0.170, 0.075)
O (0.830, 0.830, 0.925)
F (0.217, 0.601, 0.565)
F (0.399, 0.783, 0.435)
F (0.414, 0.414, 0.116)
F (0.586, 0.586, 0.884)
F (0.601, 0.217, 0.565)
F (0.783, 0.399, 0.435)



Computed, not measured: an optimized crystal structure of HgGe2OF at the PBE-GGA level of DFT.

Properties
- ρ: 5.5 g/cm3
- Symmetry: P4/mmm, No. 123
- DFT total energy: -0.105 Ha/atom

Lattice parameters (Å, degrees): 5.246 5.246 4.209 90.00 90.00 90.00
Positions (direct):
Hg (0.000, 0.000, 0.000)
Ge (0.000, 0.500, 0.000)
Ge (0.500, 0.000, 0.000)
O (0.000, 0.000, 0.500)
F (0.500, 0.500, 0.500)



Computed, not measured: an optimized crystal structure of HgGeO2F at the PBE-GGA level of DFT.

Properties
- ρ: 6.8 g/cm3
- Symmetry: P4/mmm, No. 123
- DFT total energy: -0.127 Ha/atom

Lattice parameters (Å, degrees): 4.220 4.220 4.443 90.00 90.00 90.00
Positions (direct):
Hg (0.000, 0.000, 0.000)
Ge (0.500, 0.500, 0.500)
O (0.000, 0.500, 0.000)
O (0.500, 0.000, 0.000)
F (0.000, 0.000, 0.500)



Computed, not measured: an optimized crystal structure of HgGeOF2 at the PBE-GGA level of DFT.

Properties
- ρ: 7.6 g/cm3
- Energy above the lowest structure with this stoichiometry: 0 meV per atom
- Symmetry: P4/mmm, No. 123
- DFT total energy: -0.144 Ha/atom

Lattice parameters (Å, degrees): 4.379 4.379 3.742 90.00 90.00 90.00
Positions (direct):
Hg (0.000, 0.000, 0.000)
Ge (0.500, 0.500, 0.500)
O (0.500, 0.500, 0.000)
F (0.000, 0.500, 0.500)
F (0.500, 0.000, 0.500)



Computed, not measured: an optimized crystal structure of HgGePdF6 at the PBE-GGA level of DFT.

Properties
- ρ: 5.0 g/cm3
- Symmetry: C2, No. 5
- DFT total energy: -0.147 Ha/atom

Lattice parameters (Å, degrees): 5.730 5.730 5.718 90.02 90.02 119.42
Positions (direct):
Hg (0.000, 0.000, 0.000)
Ge (0.664, 0.336, 0.500)
Pd (0.333, 0.667, 0.500)
F (0.396, 0.057, 0.670)
F (0.411, 0.362, 0.314)
F (0.638, 0.589, 0.686)
F (0.660, 0.079, 0.308)
F (0.921, 0.340, 0.692)
F (0.943, 0.604, 0.330)



Computed, not measured: an optimized crystal structure of Hg2GePtF at the PBE-GGA level of DFT.

Properties
- ρ: 10.5 g/cm3
- Symmetry: P4/mmm, No. 123
- DFT total energy: -0.088 Ha/atom

Lattice parameters (Å, degrees): 5.123 5.123 4.140 90.00 90.00 90.00
Positions (direct):
Hg (0.000, 0.500, 0.000)
Hg (0.500, 0.000, 0.000)
Ge (0.000, 0.000, 0.500)
Pt (0.500, 0.500, 0.500)
F (0.500, 0.500, 0.000)



Computed, not measured: an optimized crystal structure of SrHgGeF6 at the PBE-GGA level of DFT.

Properties
- ρ: 3.9 g/cm3
- Symmetry: P1, No. 1
- DFT total energy: -0.169 Ha/atom

Lattice parameters (Å, degrees): 5.937 6.157 6.237 89.13 88.13 61.28
Positions (direct):
Sr (0.000, 0.000, 0.000)
Hg (0.656, 0.690, 0.500)
Ge (0.327, 0.348, 0.000)
F (0.073, 0.328, 0.161)
F (0.096, 0.599, 0.831)
F (0.306, 0.600, 0.168)
F (0.314, 0.111, 0.831)
F (0.575, 0.112, 0.169)
F (0.601, 0.327, 0.838)



Computed, not measured: an optimized crystal structure of Sr2HgGeF at the PBE-GGA level of DFT.

Properties
- ρ: 5.9 g/cm3
- Symmetry: P4/mmm, No. 123
- DFT total energy: -0.118 Ha/atom

Lattice parameters (Å, degrees): 5.073 5.073 5.115 90.00 90.00 90.00
Positions (direct):
Sr (0.000, 0.500, 0.000)
Sr (0.500, 0.000, 0.000)
Hg (0.000, 0.000, 0.500)
Ge (0.500, 0.500, 0.500)
F (0.000, 0.000, 0.000)